# CaMnSb, optimized geometry, DFT PBE-GGA
data_CaMnSb
_symmetry_space_group_name_H-M 'P 1'
_symmetry_Int_Tables_number 1
_symmetry_space_group_name_Hall 'P 1'
_cell_length_a 4.382
_cell_length_b 4.382
_cell_length_c 7.571
_cell_angle_alpha 90.00
_cell_angle_beta 90.00
_cell_angle_gamma 90.00
loop_
_atom_site_label
_atom_site_type_symbol
_atom_site_fract_x
_atom_site_fract_y
_atom_site_fract_z
Sb1 Sb 0.000 0.500 0.270
Sb2 Sb 0.500 0.000 0.730
Mn1 Mn 0.500 0.500 0.500
Mn2 Mn 0.000 0.000 0.500
Ca1 Ca 0.500 0.000 0.170
Ca2 Ca 0.000 0.500 0.830
# - V (Å³ per cell) = 145.3
# - E_form (uncorrected) (eV/atom) = -0.43
# - raw total energy (eV per atom) = -5.532
# - size of the total moment (μB per cell) = 7.63

# CaMn2Sb, optimized geometry, DFT PBE-GGA
data_CaMn2Sb
_symmetry_space_group_name_H-M 'P 1'
_symmetry_Int_Tables_number 1
_symmetry_space_group_name_Hall 'P 1'
_cell_length_a 4.299
_cell_length_b 4.401
_cell_length_c 4.401
_cell_angle_alpha 90.00
_cell_angle_beta 90.00
_cell_angle_gamma 90.00
loop_
_atom_site_label
_atom_site_type_symbol
_atom_site_fract_x
_atom_site_fract_y
_atom_site_fract_z
Mn1 Mn 0.000 0.500 0.500
Mn2 Mn 0.000 0.000 0.000
Sb1 Sb 0.500 0.500 0.000
Ca1 Ca 0.500 0.000 0.500
# - V (Å³ per cell) = 83.3
# - E_form (uncorrected) (eV/atom) = 0.15
# - raw total energy (eV per atom) = -5.966
# - size of the total moment (μB per cell) = 7.72

# CaMnSb2Te, optimized geometry, DFT PBE-GGA
data_CaMnSb2Te
_symmetry_space_group_name_H-M 'P 1'
_symmetry_Int_Tables_number 1
_symmetry_space_group_name_Hall 'P 1'
_cell_length_a 4.814
_cell_length_b 4.814
_cell_length_c 6.127
_cell_angle_alpha 90.00
_cell_angle_beta 90.00
_cell_angle_gamma 90.00
loop_
_atom_site_label
_atom_site_type_symbol
_atom_site_fract_x
_atom_site_fract_y
_atom_site_fract_z
Sb1 Sb 0.500 0.000 0.000
Sb2 Sb 0.000 0.500 0.000
Ca1 Ca 0.500 0.500 0.500
Mn1 Mn 0.000 0.000 0.000
Te1 Te 0.000 0.000 0.500
# - V (Å³ per cell) = 142.0
# - E_form (uncorrected) (eV/atom) = -0.08
# - polymorph energy (0 for the lowest one) (meV per atom) = 0
# - raw total energy (eV per atom) = -4.587
# - size of the total moment (μB per cell) = 0.00

# CaMnSb2Te, optimized geometry, DFT PBE-GGA
data_CaMnSb2Te
_symmetry_space_group_name_H-M 'P 1'
_symmetry_Int_Tables_number 1
_symmetry_space_group_name_Hall 'P 1'
_cell_length_a 5.731
_cell_length_b 5.731
_cell_length_c 5.685
_cell_angle_alpha 90.00
_cell_angle_beta 90.00
_cell_angle_gamma 90.00
loop_
_atom_site_label
_atom_site_type_symbol
_atom_site_fract_x
_atom_site_fract_y
_atom_site_fract_z
Sb1 Sb 0.000 0.500 0.000
Sb2 Sb 0.500 0.000 0.000
Te1 Te 0.000 0.000 0.500
Ca1 Ca 0.000 0.000 0.000
Mn1 Mn 0.500 0.500 0.500
# - V (Å³ per cell) = 186.7
# - E_form (uncorrected) (eV/atom) = 0.76
# - polymorph energy (0 for the lowest one) (meV per atom) = 837
# - raw total energy (eV per atom) = -3.750
# - size of the total moment (μB per cell) = 4.53